Entry 1:
A plane-wave DFT calculation with PBE-GGA was carried out for a relaxed structure of GdHfSb.

The value obtained for the formation energy from raw total energies is -190.3 meV/atom. For the density of states at the Fermi level, the calculation gives 5.5 states/eV per cell. As for the calculated volume: 79.8 Å³ per cell. The calculated total energy is -9.58 eV/atom.

It has space group P3m1 (No. 156), with a = 4.9535 Å, b = 4.9535 Å, c = 3.7553 Å, α = 90.00°, β = 90.00° and γ = 120.00°. Symmetry generates all atoms from Gd at (0.0000, 0.0000, 0.0000), Hf at (0.3333, 0.6667, 0.4997) and Sb at (0.6667, 0.3333, 0.5018).

***

Entry 2:
A plane-wave DFT calculation with PBE-GGA was carried out for a relaxed structure of TePdI2F.

The value obtained for the formation energy from raw total energies is 89.2 meV/atom. For the energy above the most stable polymorph in this dataset, the calculation gives 0.0 meV/atom. For the density of states at the Fermi level, the calculation gives 9.4 states/eV per cell. As for the calculated volume: 154.2 Å³ per cell. The calculated total energy is -2.57 eV/atom.

It has space group P4/mmm (No. 123), with a = 5.455 Å, b = 5.455 Å, c = 5.181 Å, α = 90.00°, β = 90.00° and γ = 90.00°. Symmetry generates all atoms from Te at (0.000, 0.000, 0.000), Pd at (0.000, 0.000, 0.500), I at (0.000, 0.500, 0.500) and F at (0.500, 0.500, 0.000).

***

Entry 3:
A plane-wave DFT calculation with PBE-GGA was carried out for a relaxed structure of Sr2TlCl.

The value obtained for the formation energy from raw total energies is -1044.5 meV/atom. For the energy above the most stable polymorph in this dataset, the calculation gives 40.5 meV/atom. For the density of states at the Fermi level, the calculation gives 4.3 states/eV per cell. As for the calculated volume: 139.2 Å³ per cell. The calculated total energy is -2.94 eV/atom.

It has space group P4/mmm (No. 123), with a = 5.941 Å, b = 5.941 Å, c = 3.945 Å, α = 90.00°, β = 90.00° and γ = 90.00°. Symmetry generates all atoms from Sr at (0.000, 0.500, 0.000), Tl at (0.000, 0.000, 0.500) and Cl at (0.500, 0.500, 0.000).

***

What is the calculated total energy in the first record? -9.58 eV/atom

***

Among the records above, which one has the highest calculated total energy? TePdI2F